Li3CaSi: optimized geometry, GGA-PBEsol.

Unit cell a=4.767 b=4.767 c=4.767 alpha=90.00 beta=90.00 gamma=90.00
Fractional positions:
Li1 0.000 0.000 0.500
Ca1 0.500 0.500 0.500
Si1 0.000 0.000 0.000
Li2 0.500 0.000 0.000
Li3 0.000 0.500 0.000

Summary:
Electronic total energy in eV per atom: -2.8243
Energy relative to the elements, uncorrected in eV/atom: -0.068